Record 1
Ac3SnB2Rh9: relaxed, PBE-GGA.

Output
The calculation puts the energy at -6.947 eV/atom. As for the formation energy: -8.4 eV per formula unit. For the density, the calculation gives 10.45 Mg/m³.

Unit cell a=6.2382 b=6.2382 c=8.2392 alpha=90.00 beta=90.00 gamma=120.00
Last column: nearest neighbours and their distance in Å.
Sites, in units of the cell vectors:
Ac: 0.3333 0.6667 0.6601  12 Rh 3.15-3.47
Ac: 0.0000 0.0000 0.0000  12 Rh 3.08-3.12
Ac: 0.6667 0.3333 0.3399  12 Rh 3.15-3.47
Sn: 0.0000 0.0000 0.5000  6 Rh 2.60
B: 0.3333 0.6667 0.1357  6 Rh 2.09-2.12
B: 0.6667 0.3333 0.8643  6 Rh 2.09-2.12
Rh: 0.8204 0.1796 0.7099  1 B 2.09
Rh: 0.8204 0.6409 0.7099  1 B 2.09
Rh: 0.3591 0.1796 0.7099  1 B 2.09
Rh: 0.6409 0.8204 0.2901  1 B 2.09
Rh: 0.1796 0.3591 0.2901  1 B 2.09
Rh: 0.1796 0.8204 0.2901  1 B 2.09
Rh: 0.5000 0.0000 0.0000  2 B 2.12
Rh: 0.0000 0.5000 0.0000  2 B 2.12
Rh: 0.5000 0.5000 0.0000  2 B 2.12

***

Record 2
Sc3Ti: relaxed, PBE-GGA.

Output
The calculation puts the energy at -6.653 eV/atom. As for the formation energy: 0.3 eV per formula unit. The calculation puts the energy above the lowest structure with this stoichiometry at 0.000 eV per atom. For the density, the calculation gives 3.39 Mg/m³.

Unit cell a=3.2117 b=5.5747 c=5.9485 alpha=117.94 beta=105.66 gamma=90.00
Last column: nearest neighbours and their distance in Å.
Sites, in units of the cell vectors:
Sc: 0.2584 0.5943 0.5168  3 Ti 3.05-3.19, 9 Sc 3.08-3.22
Sc: 0.5000 0.4935 0.0000  8 Sc 3.08-3.21, 4 Ti 3.18-3.25
Sc: 0.7416 0.0775 0.4832  3 Ti 3.05-3.19, 9 Sc 3.08-3.22
Ti: 0.0000 0.0013 0.0000  10 Sc 3.05-3.25, 2 Ti 3.21

***

Record 3
Pu2Ge3Pd2: relaxed, PBE-GGA.

Output
The calculation puts the energy at -7.846 eV/atom. As for the formation energy: -2.0 eV per formula unit. The calculation puts the energy above the lowest structure with this stoichiometry at 0.285 eV per atom. For the density, the calculation gives 12.30 Mg/m³.

Unit cell a=3.4761 b=6.0751 c=7.5480 alpha=124.01 beta=90.00 gamma=106.62
Last column: nearest neighbours and their distance in Å.
Sites, in units of the cell vectors:
Pu: 0.8184 0.6368 0.1202  2 Pu 2.34
Pu: 0.1816 0.3632 0.8798  2 Pu 2.34
Ge: 0.5000 0.0000 0.0000  4 Pd 2.56
Ge: 0.5776 0.1552 0.4434  1 Ge 2.41, 3 Pd 2.48-2.56
Ge: 0.4224 0.8448 0.5566  1 Ge 2.41, 3 Pd 2.48-2.56
Pd: 0.8394 0.6788 0.7077  5 Ge 2.48-2.56
Pd: 0.1606 0.3212 0.2923  5 Ge 2.48-2.56

***

Q: The highest density belongs to which entry?
A: Pu2Ge3Pd2